[1]
Material: Nd3BiH2
Method: DFT, PBE-GGA
State: optimized geometry

## Properties
Its total energy is -4.664 eV per atom. The calculation puts the volume at 24.876 Å³/atom. Its symmetry is No. 12. The value obtained for the total moment is 0.00 μB/cell.

```
12
Lattice="4.1450 0.0000 0.0000 0.0000 6.4268 -0.6614 -2.0725 -2.4731 11.4604" Properties=species:S:1:pos:R:3 pbc="T T T"
Nd 0.0000 0.4592 5.1044
Nd 0.0000 4.9387 0.3884
Nd 0.0000 2.2140 8.7189
Nd 2.0725 3.4946 5.6945
Nd 2.0725 1.7397 2.0800
Nd 2.0725 -0.9850 10.4105
Bi 0.0000 -1.0278 7.9437
Bi 2.0725 4.9815 2.8552
H 0.0000 2.4370 6.2900
H 2.0725 1.5167 4.5089
H 2.0725 3.0609 9.5727
H 0.0000 0.8928 1.2262
```

***

[2]
Material: Nd4Bi3H4
Method: DFT, PBE-GGA
State: optimized geometry

## Properties
Its total energy is -4.551 eV per atom. The calculation puts the volume at 22.224 Å³/atom. Its symmetry is No. 71. The value obtained for the total moment is 0.00 μB/cell.

```
11
Lattice="4.4040 0.0000 0.0000 0.0000 7.7438 0.0000 -2.2020 -3.8719 7.1684" Properties=species:S:1:pos:R:3 pbc="T T T"
Nd 0.0000 3.8719 3.1211
Nd 2.2020 0.0000 4.0472
Nd 2.2020 5.9625 0.0000
Nd 2.2020 1.7813 0.0000
Bi 0.0000 0.0000 1.6966
Bi 2.2020 3.8719 5.4718
Bi 0.0000 3.8719 0.0000
H 0.0000 -1.4089 4.6353
H 2.2020 2.4630 2.5330
H 2.2020 5.2808 2.5330
H 0.0000 1.4089 4.6353
```